(1)
VASP calculation (PBE) on a relaxed LaTbGa3 crystal.

Results
* V: 24.3 A^3/atom
* DFT formation energy: -672.4 meV per atom
* E: -0.1617 Ha/atom
* SG: Cmcm, No. 63

Unit cell a=4.249 b=4.401 c=13.160 alpha=99.62 beta=90.00 gamma=90.00
Fractional positions:
1 Ga 0.750 0.524 0.049
2 Ga 0.250 0.678 0.356
3 Ga 0.750 0.322 0.644
4 Ga 0.250 0.476 0.951
5 Ga 0.750 0.621 0.243
6 Ga 0.250 0.379 0.757
7 Tb 0.250 0.796 0.593
8 Tb 0.750 0.204 0.407
9 La 0.750 0.926 0.851
10 La 0.250 0.074 0.149

---

(2)
VASP calculation (PBE) on a relaxed LaTbTlGa crystal.

Results
* V: 27.5 A^3/atom
* DFT formation energy: -450.7 meV per atom
* E: -0.1539 Ha/atom
* SG: F-43m, No. 216

Unit cell a=5.378 b=5.378 c=5.378 alpha=60.00 beta=60.00 gamma=60.00
Fractional positions:
1 Tb 0.000 0.000 0.000
2 Tl 0.250 0.250 0.250
3 Ga 0.750 0.750 0.750
4 La 0.500 0.500 0.500

---

(3)
VASP calculation (PBE) on a relaxed LaTbTlGa crystal.

Results
* V: 27.2 A^3/atom
* DFT formation energy: -486.7 meV per atom
* E: -0.1552 Ha/atom
* SG: P4mm, No. 99

Unit cell a=3.718 b=3.718 c=7.857 alpha=90.00 beta=90.00 gamma=90.00
Fractional positions:
1 La 0.500 0.500 0.803
2 Tb 0.500 0.500 0.339
3 Tl 0.000 0.000 0.089
4 Ga 0.000 0.000 0.555

---

(4)
VASP calculation (PBE) on a relaxed LaTbTmGa crystal.

Results
* V: 27.9 A^3/atom
* DFT formation energy: -119.5 meV per atom
* E: -0.1611 Ha/atom
* SG: F-43m, No. 216

Unit cell a=5.402 b=5.402 c=5.402 alpha=60.00 beta=60.00 gamma=60.00
Fractional positions:
1 Tb 0.000 0.000 0.000
2 Tm 0.750 0.750 0.750
3 Ga 0.250 0.250 0.250
4 La 0.500 0.500 0.500

---

(5)
VASP calculation (PBE) on a relaxed LaTbZnGa crystal.

Results
* V: 25.0 A^3/atom
* DFT formation energy: -453.8 meV per atom
* E: -0.1440 Ha/atom
* SG: F-43m, No. 216

Unit cell a=5.212 b=5.212 c=5.212 alpha=60.00 beta=60.00 gamma=60.00
Fractional positions:
1 La 0.000 0.000 0.000
2 Tb 0.500 0.500 0.500
3 Zn 0.750 0.750 0.750
4 Ga 0.250 0.250 0.250

---

(6)
VASP calculation (PBE) on a relaxed LaGa3Tc3 crystal.

Results
* V: 18.6 A^3/atom
* DFT formation energy: -90.6 meV per atom
* E: -0.2401 Ha/atom
* SG: P6_3/m, No. 176

Unit cell a=4.481 b=8.193 c=8.193 alpha=120.00 beta=90.00 gamma=90.00
Fractional positions:
1 Ga 0.750 0.665 0.066
2 Ga 0.750 0.934 0.599
3 Ga 0.750 0.401 0.335
4 Ga 0.250 0.335 0.934
5 Ga 0.250 0.599 0.665
6 Ga 0.250 0.066 0.401
7 Tc 0.250 0.207 0.179
8 Tc 0.750 0.179 0.971
9 Tc 0.250 0.971 0.793
10 Tc 0.250 0.821 0.029
11 Tc 0.750 0.793 0.821
12 Tc 0.750 0.029 0.207
13 La 0.750 0.333 0.667
14 La 0.250 0.667 0.333

---

(7)
VASP calculation (PBE) on a relaxed LaGa8Tc2 crystal.

Results
* V: 20.1 A^3/atom
* DFT formation energy: -38.2 meV per atom
* E: -0.1680 Ha/atom
* SG: P4/mmm, No. 123

Unit cell a=6.445 b=6.445 c=5.315 alpha=90.00 beta=90.00 gamma=90.00
Fractional positions:
1 Ga 0.207 0.207 0.246
2 Ga 0.793 0.207 0.754
3 Ga 0.793 0.793 0.754
4 Ga 0.793 0.207 0.246
5 Ga 0.207 0.793 0.754
6 Ga 0.207 0.207 0.754
7 Ga 0.207 0.793 0.246
8 Ga 0.793 0.793 0.246
9 Tc 0.000 0.500 0.000
10 Tc 0.500 0.000 0.000
11 La 0.500 0.500 0.500

---

(8)
VASP calculation (PBE) on a relaxed LaGa8Tc4 crystal.

Results
* V: 16.8 A^3/atom
* DFT formation energy: -281.2 meV per atom
* E: -0.2099 Ha/atom
* SG: I4/mmm, No. 139

Unit cell a=5.253 b=6.960 c=6.960 alpha=81.81 beta=67.83 gamma=67.83
Fractional positions:
1 Ga 0.000 0.349 0.651
2 Ga 0.000 0.651 0.349
3 Ga 0.718 0.782 0.782
4 Ga 0.500 0.782 0.218
5 Ga 0.349 0.651 0.651
6 Ga 0.651 0.349 0.349
7 Ga 0.500 0.218 0.782
8 Ga 0.282 0.218 0.218
9 Tc 0.500 0.500 0.000
10 Tc 0.000 0.500 0.000
11 Tc 0.000 0.000 0.500
12 Tc 0.500 0.000 0.500
13 La 0.000 0.000 0.000

---

(9)
VASP calculation (PBE) on a relaxed LaGa3Tc crystal.

Results
* V: 22.2 A^3/atom
* DFT formation energy: -420.5 meV per atom
* E: -0.1946 Ha/atom
* SG: Pm-3m, No. 221

Unit cell a=4.806 b=4.806 c=4.806 alpha=90.00 beta=90.00 gamma=90.00
Fractional positions:
1 Ga 0.000 0.500 0.000
2 Ga 0.000 0.000 0.500
3 Ga 0.500 0.000 0.000
4 La 0.500 0.500 0.500
5 Tc 0.000 0.000 0.000

---

(10)
VASP calculation (PBE) on a relaxed La6GaTc2 crystal.

Results
* V: 29.1 A^3/atom
* DFT formation energy: -152.8 meV per atom
* E: -0.2233 Ha/atom
* SG: Immm, No. 71

Unit cell a=8.809 b=8.809 c=8.809 alpha=105.12 beta=111.42 gamma=111.96
Fractional positions:
1 La 0.197 0.238 0.435
2 La 0.197 0.762 0.959
3 La 0.464 0.279 0.185
4 La 0.906 0.721 0.185
5 La 0.094 0.279 0.815
6 La 0.803 0.238 0.041
7 La 0.314 0.985 0.671
8 La 0.536 0.721 0.815
9 La 0.686 0.357 0.671
10 La 0.314 0.643 0.329
11 La 0.686 0.015 0.329
12 La 0.803 0.762 0.565
13 Tc 0.317 0.000 0.317
14 Tc 0.683 0.000 0.683
15 Tc 0.500 0.615 0.115
16 Tc 0.500 0.385 0.885
17 Ga 0.000 0.500 0.500
18 Ga 0.000 0.000 0.000

---

(11)
VASP calculation (PBE) on a relaxed LaGa2Tc2 crystal.

Results
* V: 17.7 A^3/atom
* DFT formation energy: -74.6 meV per atom
* E: -0.2358 Ha/atom
* SG: P4/mbm, No. 127

Unit cell a=7.545 b=7.545 c=3.105 alpha=90.00 beta=90.00 gamma=90.00
Fractional positions:
1 Ga 0.355 0.145 0.500
2 Ga 0.145 0.645 0.500
3 Ga 0.855 0.355 0.500
4 Ga 0.645 0.855 0.500
5 Tc 0.144 0.356 0.000
6 Tc 0.644 0.144 0.000
7 Tc 0.856 0.644 0.000
8 Tc 0.356 0.856 0.000
9 La 0.000 0.000 0.000
10 La 0.500 0.500 0.000

---

(12)
VASP calculation (PBE) on a relaxed LaGa2Tc2 crystal.

Results
* V: 17.9 A^3/atom
* DFT formation energy: -37.6 meV per atom
* E: -0.2345 Ha/atom
* SG: P4/mbm, No. 127

Unit cell a=7.965 b=7.965 c=2.817 alpha=90.00 beta=90.00 gamma=90.00
Fractional positions:
1 Ga 0.651 0.151 0.000
2 Ga 0.349 0.849 0.000
3 Ga 0.151 0.349 0.000
4 Ga 0.849 0.651 0.000
5 Tc 0.637 0.863 0.500
6 Tc 0.363 0.137 0.500
7 Tc 0.137 0.637 0.500
8 Tc 0.863 0.363 0.500
9 La 0.500 0.500 0.000
10 La 0.000 0.000 0.000

---

(13)
VASP calculation (PBE) on a relaxed LaGa2Tc4 crystal.

Results
* V: 18.5 A^3/atom
* DFT formation energy: -275.7 meV per atom
* E: -0.2855 Ha/atom
* SG: Cmmm, No. 65

Unit cell a=4.249 b=4.250 c=7.471 alpha=106.52 beta=90.00 gamma=90.00
Fractional positions:
1 Ga 0.500 0.590 0.181
2 Ga 0.500 0.410 0.819
3 La 0.000 0.000 0.000
4 Tc 0.500 0.201 0.402
5 Tc 0.000 0.299 0.598
6 Tc 0.000 0.701 0.402
7 Tc 0.500 0.799 0.598

---

(14)
VASP calculation (PBE) on a relaxed La2Ga2Tc crystal.

Results
* V: 23.4 A^3/atom
* DFT formation energy: -199.6 meV per atom
* E: -0.2004 Ha/atom
* SG: P4/mbm, No. 127

Unit cell a=7.080 b=7.080 c=4.663 alpha=90.00 beta=90.00 gamma=90.00
Fractional positions:
1 Tc 0.500 0.500 0.000
2 Tc 0.000 0.000 0.000
3 Ga 0.139 0.361 0.000
4 Ga 0.639 0.139 0.000
5 Ga 0.861 0.639 0.000
6 Ga 0.361 0.861 0.000
7 La 0.329 0.171 0.500
8 La 0.671 0.829 0.500
9 La 0.829 0.329 0.500
10 La 0.171 0.671 0.500

---

(15)
VASP calculation (PBE) on a relaxed LaGa2Tc2 crystal.

Results
* V: 20.1 A^3/atom
* DFT formation energy: -413.7 meV per atom
* E: -0.2483 Ha/atom
* SG: Imma, No. 74

Unit cell a=4.292 b=4.253 c=11.423 alpha=100.73 beta=100.83 gamma=90.00
Fractional positions:
1 Ga 0.277 0.027 0.554
2 Ga 0.395 0.145 0.790
3 Ga 0.723 0.973 0.446
4 Ga 0.605 0.855 0.210
5 Tc 0.032 0.782 0.064
6 Tc 0.468 0.718 0.937
7 Tc 0.532 0.282 0.063
8 Tc 0.968 0.218 0.936
9 La 0.848 0.598 0.695
10 La 0.152 0.402 0.305

---

(16)
VASP calculation (PBE) on a relaxed LaGaTc crystal.

Results
* V: 22.9 A^3/atom
* DFT formation energy: -304.9 meV per atom
* E: -0.2356 Ha/atom
* SG: C2/m, No. 12

Unit cell a=6.440 b=6.449 c=7.381 alpha=90.00 beta=116.34 gamma=90.00
Fractional positions:
1 Tc 0.750 0.750 0.500
2 Tc 0.750 0.250 0.500
3 Tc 0.250 0.250 0.500
4 Tc 0.250 0.750 0.500
5 Ga 0.102 0.000 0.700
6 Ga 0.602 0.500 0.700
7 Ga 0.398 0.500 0.300
8 Ga 0.898 0.000 0.300
9 La 0.852 0.500 0.209
10 La 0.148 0.500 0.791
11 La 0.352 0.000 0.209
12 La 0.648 0.000 0.791

---

(17)
VASP calculation (PBE) on a relaxed La4GaTc crystal.

Results
* V: 30.0 A^3/atom
* DFT formation energy: -233.4 meV per atom
* E: -0.2113 Ha/atom
* SG: C2/c, No. 15

Unit cell a=6.438 b=8.396 c=8.270 alpha=114.11 beta=105.07 gamma=104.76
Fractional positions:
1 Ga 0.625 0.375 0.751
2 Ga 0.375 0.625 0.249
3 La 0.368 0.943 0.651
4 La 0.217 0.293 0.349
5 La 0.038 0.215 0.858
6 La 0.680 0.356 0.142
7 La 0.962 0.785 0.142
8 La 0.320 0.644 0.858
9 La 0.632 0.057 0.349
10 La 0.783 0.707 0.651
11 Tc 0.249 0.999 0.999
12 Tc 0.751 0.001 0.001

---

(18)
VASP calculation (PBE) on a relaxed LaGa4Tc crystal.

Results
* V: 19.7 A^3/atom
* DFT formation energy: -426.2 meV per atom
* E: -0.1835 Ha/atom
* SG: Pmma, No. 51

Unit cell a=4.215 b=7.194 c=7.809 alpha=90.00 beta=90.00 gamma=90.00
Fractional positions:
1 Ga 0.500 0.683 0.069
2 Ga 0.000 0.000 0.500
3 Ga 0.500 0.036 0.250
4 Ga 0.500 0.964 0.750
5 Ga 0.500 0.317 0.931
6 Ga 0.500 0.317 0.569
7 Ga 0.000 0.000 0.000
8 Ga 0.500 0.683 0.431
9 La 0.000 0.636 0.750
10 La 0.000 0.364 0.250
11 Tc 0.000 0.799 0.250
12 Tc 0.000 0.201 0.750

---

(19)
VASP calculation (PBE) on a relaxed La2Ga4Tc crystal.

Results
* V: 25.0 A^3/atom
* DFT formation energy: -412.2 meV per atom
* E: -0.1849 Ha/atom
* SG: I4/mmm, No. 139

Unit cell a=4.756 b=4.756 c=8.425 alpha=73.61 beta=73.61 gamma=90.00
Fractional positions:
1 Ga 0.500 0.000 0.000
2 Ga 0.839 0.839 0.323
3 Ga 0.000 0.500 0.000
4 Ga 0.161 0.161 0.677
5 Tc 0.000 0.000 0.000
6 La 0.359 0.359 0.282
7 La 0.641 0.641 0.718

---

(20)
VASP calculation (PBE) on a relaxed La2GaTc crystal.

Results
* V: 25.7 A^3/atom
* DFT formation energy: 118.8 meV per atom
* E: -0.2092 Ha/atom
* SG: I-42d, No. 122

Unit cell a=8.282 b=8.282 c=6.578 alpha=50.99 beta=50.99 gamma=90.00
Fractional positions:
1 La 0.065 0.625 0.250
2 La 0.375 0.315 0.750
3 La 0.685 0.125 0.250
4 La 0.875 0.935 0.750
5 Tc 0.750 0.250 0.500
6 Tc 0.000 0.000 0.000
7 Ga 0.500 0.500 0.000
8 Ga 0.250 0.750 0.500